(1)
## Ga2BN (PBE)

Data for a geometry-optimized Ga2BN structure.

Properties
Calculated volume   16.304 Å³/atom
Energy relative to the elements, uncorrected   -0.45 eV/atom
Symmetry   P1 (1)
Fermi-level density of states   0.188 states/eV/atom

Cell: 2.600 2.600 11.171 Å, 86.07 89.12 60.00°
Element x y z (fractional)
Ga 0.000 0.000 0.000
Ga 0.034 0.907 0.245
B 0.733 0.405 0.619
N 0.067 0.738 0.619

(2)
## Ga2BN (PBE)

Data for a geometry-optimized Ga2BN structure.

Properties
Calculated volume   16.004 Å³/atom
Energy relative to the elements, uncorrected   -0.37 eV/atom
Symmetry   P1 (1)
Fermi-level density of states   0.097 states/eV/atom

Cell: 2.581 4.261 11.896 Å, 89.80 84.39 79.55°
Element x y z (fractional)
Ga 0.000 0.000 0.000
Ga 0.179 0.483 0.689
Ga 0.563 0.497 0.893
Ga 0.746 0.980 0.584
B 0.342 0.986 0.365
B 0.923 0.994 0.181
N 0.398 0.991 0.238
N 0.818 0.984 0.421

(3)
## Ga2BN (PBE)

Data for a geometry-optimized Ga2BN structure.

Properties
Calculated volume   16.927 Å³/atom
Energy relative to the elements, uncorrected   -0.34 eV/atom
Symmetry   P1 (1)
Fermi-level density of states   0.171 states/eV/atom

Cell: 2.573 5.350 10.277 Å, 101.46 90.61 101.99°
Element x y z (fractional)
Ga 0.000 0.000 0.000
Ga 0.107 0.176 0.269
Ga 0.272 0.545 0.066
Ga 0.830 0.675 0.312
B 0.440 0.890 0.740
B 0.884 0.781 0.524
N 0.402 0.816 0.592
N 0.957 0.922 0.807